Record 1
VASP calculation (PBE-GGA) on crystalline LiAc2Ti at its relaxed geometry.

Cell lengths 12.368, 12.368, 12.368 Å; angles 16.55, 16.55, 16.55 degrees
Positions (direct):
Li  0.000  0.000  0.000
Ac  0.415  0.415  0.415
Ac  0.585  0.585  0.585
Ti  0.500  0.500  0.500

Calculated values
For the density, the calculation gives 6.31 Mg/m³. The value obtained for the total magnetization is 1.6 Bohr magnetons per cell. As for the formation energy: 0.651 eV/atom.

---

Record 2
VASP calculation (PBE-GGA) on crystalline Li3Ac2Tl5 at its relaxed geometry.

Cell lengths 9.552, 9.552, 9.552 Å; angles 107.06, 88.15, 137.64 degrees
Positions (direct):
Li  0.129  0.606  0.735
Li  0.250  0.250  0.000
Li  0.371  0.106  0.477
Li  0.629  0.894  0.523
Li  0.750  0.750  0.000
Li  0.871  0.394  0.265
Ac  0.135  0.259  0.394
Ac  0.365  0.759  0.124
Ac  0.635  0.241  0.876
Ac  0.865  0.741  0.606
Tl  0.013  0.250  0.763
Tl  0.103  0.840  0.942
Tl  0.250  0.750  0.500
Tl  0.397  0.340  0.737
Tl  0.487  0.250  0.237
Tl  0.513  0.750  0.763
Tl  0.603  0.660  0.263
Tl  0.750  0.250  0.500
Tl  0.897  0.160  0.058
Tl  0.987  0.750  0.237

Calculated values
For the density, the calculation gives 9.24 Mg/m³. The value obtained for the total magnetization is 0.0 Bohr magnetons per cell. As for the formation energy: -0.293 eV/atom.

---

Record 3
VASP calculation (PBE-GGA) on crystalline Li2AcTl at its relaxed geometry.

Cell lengths 5.173, 5.173, 4.080 Å; angles 90.00, 90.00, 90.00 degrees
Positions (direct):
Li  0.000  0.500  0.000
Li  0.500  0.000  0.000
Ac  0.000  0.000  0.500
Tl  0.500  0.500  0.500

Calculated values
For the density, the calculation gives 6.77 Mg/m³. The value obtained for the total magnetization is 0.0 Bohr magnetons per cell. The value obtained for the energy above the most stable polymorph in this dataset is 176 meV/atom. As for the formation energy: -0.032 eV/atom.

---

Record 4
VASP calculation (PBE-GGA) on crystalline Li3Ac3Tl2 at its relaxed geometry.

Cell lengths 9.373, 16.633, 6.274 Å; angles 90.00, 90.00, 90.00 degrees
Positions (direct):
Li  0.161  0.250  0.093
Li  0.178  0.534  0.116
Li  0.178  0.966  0.116
Li  0.322  0.034  0.616
Li  0.322  0.466  0.616
Li  0.339  0.750  0.593
Li  0.661  0.250  0.407
Li  0.678  0.534  0.384
Li  0.678  0.966  0.384
Li  0.822  0.034  0.884
Li  0.822  0.466  0.884
Li  0.839  0.750  0.907
Ac  0.052  0.608  0.630
Ac  0.052  0.892  0.630
Ac  0.186  0.750  0.110
Ac  0.314  0.250  0.610
Ac  0.448  0.108  0.130
Ac  0.448  0.392  0.130
Ac  0.552  0.608  0.870
Ac  0.552  0.892  0.870
Ac  0.686  0.750  0.390
Ac  0.814  0.250  0.890
Ac  0.948  0.108  0.370
Ac  0.948  0.392  0.370
Tl  0.108  0.102  0.862
Tl  0.108  0.398  0.862
Tl  0.392  0.602  0.362
Tl  0.392  0.898  0.362
Tl  0.608  0.102  0.638
Tl  0.608  0.398  0.638
Tl  0.892  0.602  0.138
Tl  0.892  0.898  0.138

Calculated values
For the density, the calculation gives 7.54 Mg/m³. The value obtained for the total magnetization is 0.0 Bohr magnetons per cell. The value obtained for the energy above the most stable polymorph in this dataset is 10 meV/atom. As for the formation energy: -0.168 eV/atom.

---

Copy entry 2 word for word.
VASP calculation (PBE-GGA) on crystalline Li3Ac2Tl5 at its relaxed geometry.

Cell lengths 9.552, 9.552, 9.552 Å; angles 107.06, 88.15, 137.64 degrees
Positions (direct):
Li  0.129  0.606  0.735
Li  0.250  0.250  0.000
Li  0.371  0.106  0.477
Li  0.629  0.894  0.523
Li  0.750  0.750  0.000
Li  0.871  0.394  0.265
Ac  0.135  0.259  0.394
Ac  0.365  0.759  0.124
Ac  0.635  0.241  0.876
Ac  0.865  0.741  0.606
Tl  0.013  0.250  0.763
Tl  0.103  0.840  0.942
Tl  0.250  0.750  0.500
Tl  0.397  0.340  0.737
Tl  0.487  0.250  0.237
Tl  0.513  0.750  0.763
Tl  0.603  0.660  0.263
Tl  0.750  0.250  0.500
Tl  0.897  0.160  0.058
Tl  0.987  0.750  0.237

Calculated values
For the density, the calculation gives 9.24 Mg/m³. The value obtained for the total magnetization is 0.0 Bohr magnetons per cell. As for the formation energy: -0.293 eV/atom.

---

Question: Among the records above, which one has the highest total magnetization?
Answer: LiAc2Ti

---

Question: Number 4 is which compound?
Answer: Li3Ac3Tl2

---

Question: density of number 4 (Li3Ac3Tl2)?
Answer: 7.54 Mg/m³